This record from Alexandria via LeMat-Bulk describes a relaxed CaIn2IO8 crystal. The functional is PBE.

a b c (Å): 4.796 6.853 4.886
angles (deg): 90.00 90.85 90.00
Fractional coordinates of all 12 atoms:
Ca 0.000 0.000 0.000
In 0.500 0.261 0.500
In 0.500 0.739 0.500
I 0.000 0.500 0.000
O 0.206 0.294 0.841
O 0.206 0.706 0.841
O 0.258 0.500 0.310
O 0.271 0.000 0.395
O 0.729 0.000 0.605
O 0.742 0.500 0.690
O 0.794 0.294 0.159
O 0.794 0.706 0.159

total magnetization: 1.050 μB per cell
SG: P2/m, No. 10
mass density: 5.43 g/cm³
formation energy from raw total energies: -1175.4 meV/atom
calculated total energy: -5.233 eV/atom